An optimized crystal structure of TbIn4CuS8, computed with PBE-GGA.

Summary:
Formation energy without anion corrections (eV per atom): -0.768

a = 7.697 Å, b = 7.697 Å, c = 7.697 Å
α = 60.39°, β = 60.39°, γ = 60.39°
Element x y z (fractional)
1 Tb 0.000 0.000 0.000
2 In 0.003 0.003 0.527
3 In 0.003 0.527 0.003
4 In 0.386 0.386 0.386
5 In 0.527 0.003 0.003
6 Cu 0.634 0.634 0.634
7 S 0.250 0.250 0.250
8 S 0.254 0.254 0.784
9 S 0.254 0.784 0.254
10 S 0.260 0.754 0.754
11 S 0.754 0.260 0.754
12 S 0.754 0.754 0.260
13 S 0.762 0.762 0.762
14 S 0.784 0.254 0.254